InCu2Sn | GGA-PBE | optimized geometry

VASP energy   -3.36 eV/atom

a b c (Å): 6.6292 6.6292 6.6292
angles (deg): 90.00 90.00 90.00
Closest atoms and distances in Å follow each position.
Sites, in units of the cell vectors:
Cu 0.2529 0.2529 0.2529  4 In 2.84-2.86, 4 Sn 2.88-2.90
Cu 0.7471 0.2529 0.2529  4 In 2.84-2.86, 4 Sn 2.88-2.90
Cu 0.2529 0.7471 0.2529  4 In 2.84-2.86, 4 Sn 2.88-2.90
Cu 0.7471 0.7471 0.2529  4 In 2.84-2.86, 4 Sn 2.88-2.90
Cu 0.2529 0.2529 0.7471  4 In 2.84-2.86, 4 Sn 2.88-2.90
Cu 0.7471 0.2529 0.7471  4 In 2.84-2.86, 4 Sn 2.88-2.90
Cu 0.2529 0.7471 0.7471  4 In 2.84-2.86, 4 Sn 2.88-2.90
Cu 0.7471 0.7471 0.7471  4 In 2.84-2.86, 4 Sn 2.88-2.90
In 0.5000 0.5000 0.0000  8 Cu 2.86
In 0.5000 0.0000 0.5000  8 Cu 2.86
In 0.0000 0.5000 0.5000  8 Cu 2.86
In 0.5000 0.5000 0.5000  8 Cu 2.84
Sn 0.0000 0.0000 0.0000  8 Cu 2.90
Sn 0.5000 0.0000 0.0000  8 Cu 2.88
Sn 0.0000 0.5000 0.0000  8 Cu 2.88
Sn 0.0000 0.0000 0.5000  8 Cu 2.88

CsTaMo2 | GGA-PBE | optimized geometry

VASP energy   -7.46 eV/atom

a b c (Å): 3.2110 3.2110 9.8045
angles (deg): 90.00 90.00 120.00
Closest atoms and distances in Å follow each position.
Sites, in units of the cell vectors:
Cs 0.0000 0.0000 0.0000  2 Mo 2.99, 6 Cs 3.21
Mo 0.0000 0.0000 0.3045  3 Ta 2.67, 1 Cs 2.99
Mo 0.0000 0.0000 0.6955  3 Ta 2.67, 1 Cs 2.99
Ta 0.6667 0.3333 0.5000  6 Mo 2.67

Cu7Ag | GGA-PBE | optimized geometry

Energy of formation   38 kJ/mol of formula units
Excess energy over the best structure of this formula in the dataset   0.0062 eV/atom

a b c (Å): 5.2730 5.2730 3.6136
angles (deg): 90.00 90.00 90.00
Closest atoms and distances in Å follow each position.
Sites, in units of the cell vectors:
Ag 0.0000 0.0000 0.5000  12 Cu 2.64-2.65
Cu 0.2601 0.2601 0.0000  10 Cu 2.53-2.74, 2 Ag 2.65
Cu 0.7399 0.2601 0.0000  10 Cu 2.53-2.74, 2 Ag 2.65
Cu 0.2601 0.7399 0.0000  10 Cu 2.53-2.74, 2 Ag 2.65
Cu 0.7399 0.7399 0.0000  10 Cu 2.53-2.74, 2 Ag 2.65
Cu 0.5000 0.0000 0.5000  10 Cu 2.60-2.64, 2 Ag 2.64
Cu 0.0000 0.5000 0.5000  10 Cu 2.60-2.64, 2 Ag 2.64
Cu 0.5000 0.5000 0.5000  12 Cu 2.54-2.64

LuHf2Bi | GGA-PBE | optimized geometry

VASP energy   -6.98 eV/atom

a b c (Å): 5.1446 5.1446 5.1446
angles (deg): 60.00 60.00 60.00
Closest atoms and distances in Å follow each position.
Sites, in units of the cell vectors:
Bi 0.5000 0.5000 0.5000  4 Hf 3.15, 4 Lu 3.15
Hf 0.0000 0.0000 0.0000  4 Hf 3.15, 4 Lu 3.15
Hf 0.7500 0.7500 0.7500  4 Hf 3.15, 4 Bi 3.15
Lu 0.2500 0.2500 0.2500  4 Bi 3.15, 4 Hf 3.15

BaCuAuSe3 | GGA-PBE | optimized geometry

VASP energy   -3.85 eV/atom

a b c (Å): 6.7576 6.7576 10.6388
angles (deg): 90.00 90.00 143.49
Closest atoms and distances in Å follow each position.
Sites, in units of the cell vectors:
Au 0.0000 0.0000 0.0000  6 Se 2.73-2.78
Au 0.0000 0.0000 0.5000  6 Se 2.73-2.78
Ba 0.7564 0.2436 0.2500  2 Cu 3.34, 8 Se 3.37-3.46
Ba 0.2436 0.7564 0.7500  2 Cu 3.34, 8 Se 3.37-3.46
Cu 0.4575 0.5425 0.2500  4 Se 2.41-2.53
Cu 0.5425 0.4575 0.7500  4 Se 2.41-2.53
Se 0.3640 0.6360 0.0410  1 Cu 2.53, 2 Au 2.78
Se 0.0479 0.9521 0.2500  2 Cu 2.41
Se 0.3640 0.6360 0.4590  1 Cu 2.53, 2 Au 2.78
Se 0.6360 0.3640 0.5410  1 Cu 2.53, 2 Au 2.78
Se 0.9521 0.0479 0.7500  2 Cu 2.41
Se 0.6360 0.3640 0.9590  1 Cu 2.53, 2 Au 2.78

NdFeCoP2 | GGA-PBE | optimized geometry

VASP energy   -7.17 eV/atom

a b c (Å): 5.9538 5.9538 5.9538
angles (deg): 143.13 143.13 53.13
Closest atoms and distances in Å follow each position.
Sites, in units of the cell vectors:
Co 0.2500 0.7500 0.5000  4 P 2.21
Fe 0.7500 0.2500 0.5000  4 P 2.21
Nd 0.5000 0.5000 0.0000  8 P 3.06, 4 Co 3.26, 4 Fe 3.26
P 0.1418 0.1418 0.0000  2 Co 2.21, 2 Fe 2.21
P 0.8582 0.8582 0.0000  2 Fe 2.21, 2 Co 2.21

Number 1: volume 291.33 Å³/cell. Number 2: volume 87.55 Å³/cell. Number 3: volume 100.48 Å³/cell. Number 4: volume 96.28 Å³/cell. Number 5: volume 289.03 Å³/cell. Number 6: volume 75.50 Å³/cell.